# 1
A relaxed Li4MnSi2O7 crystal, computed with GGA-PBEsol.

Output
- M_tot: 0.357 μB/atom
- Calculated volume: 143 Å³/f.u.
- Symmetry: No. 9
- Energy relative to the lowest polymorph listed for this composition: 0 meV/atom

Cell: 5.4017 7.1624 8.0102 Å, 94.84 90.00 112.15°
With the nearest neighbours (Å) after each atom.
Fractional positions:
Si 0.7394 0.1481 0.3292  4 O 1.63-1.70
Si 0.4087 0.1481 0.8292  4 O 1.63-1.70
Si 0.6948 0.7291 0.2627  4 O 1.62-1.72
Si 0.0342 0.7291 0.7627  4 O 1.62-1.72
Li 0.2627 0.8459 0.1227  3 O 1.91-2.01
Li 0.4680 0.5857 0.9062  4 O 1.90-2.00
Li 0.1177 0.5857 0.4062  4 O 1.90-2.00
Li 0.1809 0.9915 0.4771  4 O 1.90-2.11
Li 0.8719 0.4456 0.0542  4 O 1.97-2.03
Li 0.5737 0.4456 0.5542  4 O 1.97-2.03
Li 0.5832 0.8459 0.6227  3 O 1.91-2.01
Li 0.8106 0.9915 0.9771  4 O 1.90-2.11
O 0.4813 0.3321 0.9787  1 Si 1.63
O 0.9550 0.6731 0.2292  1 Si 1.62
O 0.4192 0.0859 0.2932  1 Si 1.63
O 0.7181 0.6731 0.7292  1 Si 1.62
O 0.6667 0.0859 0.7932  1 Si 1.63
O 0.4638 0.5541 0.3602  1 Si 1.65
O 0.8508 0.3321 0.4787  1 Si 1.63
O 0.3006 0.2151 0.6616  1 Si 1.64
O 0.0902 0.5541 0.8602  1 Si 1.65
O 0.2070 0.7799 0.5958  1 Si 1.62
O 0.9145 0.2151 0.1616  1 Si 1.64
O 0.1585 0.9462 0.8980  2 Si 1.70-1.72
O 0.7878 0.9462 0.3980  2 Si 1.70-1.72
O 0.5728 0.7799 0.0958  1 Si 1.62
Mn 0.9884 0.2989 0.7016  4 O 2.00-2.03
Mn 0.3105 0.2989 0.2016  4 O 2.00-2.03

=====

# 2
A relaxed Li2Mn3SnO8 crystal, computed with GGA-PBEsol.

Output
- M_tot: 0.498 μB/atom
- Calculated volume: 136 Å³/f.u.
- Symmetry: No. 186
- Energy relative to the lowest polymorph listed for this composition: 0 meV/atom

Cell: 5.6961 5.6972 9.6689 Å, 90.00 90.00 119.99°
With the nearest neighbours (Å) after each atom.
Fractional positions:
O 0.0147 0.0295 0.1679  1 Li 1.90, 2 Mn 1.93
O 0.8334 0.6667 0.8917  3 Mn 1.91, 1 Li 2.03
O 0.8140 0.1571 0.8970  1 Li 1.87, 2 Mn 1.95, 1 Sn 2.05
O 0.4706 0.4852 0.1680  1 Li 1.90, 2 Mn 1.93
O 0.5294 0.5148 0.6680  1 Li 1.90, 2 Mn 1.93
O 0.4999 0.9999 0.1894  1 Li 1.77, 3 Mn 1.92
O 0.6569 0.8429 0.3970  1 Li 1.87, 2 Mn 1.95, 1 Sn 2.05
O 0.1666 0.3333 0.3917  3 Mn 1.91, 1 Li 2.03
O 0.3431 0.6862 0.8971  1 Li 1.87, 2 Mn 1.95, 1 Sn 2.05
O 0.9854 0.5148 0.6680  1 Li 1.90, 2 Mn 1.93
O 0.3431 0.1571 0.8970  1 Li 1.87, 2 Mn 1.95, 1 Sn 2.05
O 0.6569 0.3138 0.3971  1 Li 1.87, 2 Mn 1.95, 1 Sn 2.05
O 0.1860 0.8429 0.3970  1 Li 1.87, 2 Mn 1.95, 1 Sn 2.05
O 0.0146 0.4852 0.1680  1 Li 1.90, 2 Mn 1.93
O 0.9853 0.9705 0.6679  1 Li 1.90, 2 Mn 1.93
O 0.5001 0.0001 0.6894  1 Li 1.77, 3 Mn 1.92
Li 0.1666 0.3332 0.6014  4 O 1.90-2.03
Li 0.4999 0.9998 0.5061  4 O 1.77-1.87
Li 0.5001 0.0002 0.0061  4 O 1.77-1.87
Li 0.8334 0.6668 0.1014  4 O 1.90-2.03
Mn 0.8399 0.1699 0.2852  6 O 1.91-1.95
Mn 0.6700 0.8301 0.7852  6 O 1.91-1.95
Mn 0.3300 0.6599 0.2851  6 O 1.91-1.95
Mn 0.3300 0.1699 0.2852  6 O 1.91-1.95
Mn 0.1601 0.8301 0.7852  6 O 1.91-1.95
Mn 0.6700 0.3401 0.7851  6 O 1.91-1.95
Sn 0.8333 0.6665 0.5089  6 O 2.05-2.15
Sn 0.1667 0.3335 0.0089  6 O 2.05-2.15

=====

# 3
A relaxed Li2Mn3SnO8 crystal, computed with GGA-PBEsol.

Output
- M_tot: 0.499 μB/atom
- Calculated volume: 142 Å³/f.u.
- Symmetry: No. 166
- Energy relative to the lowest polymorph listed for this composition: 21 meV/atom

Cell: 5.6959 5.6959 6.0251 Å, 61.79 61.79 60.00°
With the nearest neighbours (Å) after each atom.
Fractional positions:
O 0.7486 0.7486 0.2191  1 Li 1.91, 2 Mn 1.94, 1 Sn 2.09
O 0.2514 0.2514 0.7809  1 Li 1.91, 2 Mn 1.94, 1 Sn 2.09
O 0.2514 0.7163 0.7809  1 Li 1.91, 2 Mn 1.94, 1 Sn 2.09
O 0.7486 0.2837 0.2191  1 Li 1.91, 2 Mn 1.94, 1 Sn 2.09
O 0.7339 0.7339 0.7982  3 Mn 1.93
O 0.2661 0.2661 0.2018  3 Mn 1.93
O 0.2837 0.7486 0.2191  1 Li 1.91, 2 Mn 1.94, 1 Sn 2.09
O 0.7163 0.2514 0.7809  1 Li 1.91, 2 Mn 1.94, 1 Sn 2.09
Sn 0.5000 0.5000 0.5000  6 O 2.09
Mn 0.5000 0.0000 0.0000  6 O 1.93-1.94
Mn 0.0000 0.5000 0.0000  6 O 1.93-1.94
Mn 0.5000 0.5000 0.0000  6 O 1.93-1.94
Li 0.1221 0.1221 0.6336  3 O 1.91
Li 0.8779 0.8779 0.3664  3 O 1.91

=====

# 4
A relaxed Li2MnSnO4 crystal, computed with GGA-PBEsol.

Output
- M_tot: 0.599 μB/atom
- Calculated volume: 81 Å³/f.u.
- Symmetry: No. 119
- Energy relative to the lowest polymorph listed for this composition: 0 meV/atom

Cell: 4.2067 4.2067 5.4681 Å, 112.62 112.62 90.00°
With the nearest neighbours (Å) after each atom.
Fractional positions:
Sn 0.2500 0.7500 0.5000  6 O 2.10
Mn 0.5000 0.5000 0.0000  6 O 2.11-2.24
Li 0.7500 0.2500 0.5000  4 O 2.10
Li 0.0000 0.0000 0.0000  6 O 2.11-2.35
O 0.7443 0.7443 0.4885  2 Sn 2.10, 3 Li 2.10-2.35, 1 Mn 2.24
O 0.2557 0.2557 0.5115  2 Sn 2.10, 3 Li 2.10-2.35, 1 Mn 2.24
O 0.0217 0.5217 0.0433  1 Sn 2.10, 2 Mn 2.11, 2 Li 2.11
O 0.4783 0.9783 0.9567  1 Sn 2.10, 2 Mn 2.11, 2 Li 2.11

=====

E_form (uncorrected) values, unit eV/atom, following the record order: -2.369 -1.788 -1.767 -1.703.
Ρ values, unit Mg/m³, following the record order: 2.91 5.20 4.98 5.14.